DFT (GGA-PBE) results for an optimized crystal structure of GeRh2W.

Calculated formation energy ... -0.134 eV/atom
Calculated density ... 12.8 g/cm³
Total magnetization ... 0.0 μB/cell

Cell and atoms, written as POSCAR:
```
GeRh2W
1.0
-0.219 2.761 0.648
-1.825 0.849 2.009
5.418 0.295 6.811
Rh Ge W
2 1 1
direct
0.748 0.748 0.757
0.252 0.252 0.243
0.000 0.000 0.000
0.500 0.500 0.500
```